(1)
First-principles (PBE-GGA) data for a geometry-optimized BaSb2Os structure, as listed in Alexandria via LeMat-Bulk.

```
BaSb2Os
1.0
0.0000 3.7183 3.7183
3.7183 0.0000 3.7183
3.7183 3.7183 0.0000
Ba Sb Os
1 2 1
Cartesian
0.0000 0.0000 0.0000 Ba
3.7183 3.7183 3.7183 Sb
5.5774 5.5774 5.5774 Sb
1.8591 1.8591 1.8591 Os
```

Values from the calculation:
Uncorrected formation energy in eV/atom: 0.678

=====

(2)
First-principles (PBE-GGA) data for a geometry-optimized SmPaSi4 structure, as listed in Alexandria via LeMat-Bulk.

```
SmPaSi4
1.0
-2.0016 2.0016 7.2086
2.0016 -2.0016 7.2086
2.0016 2.0016 -7.2086
Sm Pa Si
1 1 4
Cartesian
0.0000 0.0000 0.0000 Sm
2.0016 0.0000 3.6043 Pa
0.0000 0.0000 5.9955 Si
0.0000 0.0000 8.4218 Si
0.0000 2.0016 2.4409 Si
0.0000 2.0016 4.7677 Si
```

Values from the calculation:
Relative energy among the computed polymorphs in kJ/mol of formula units: 0.0
Uncorrected formation energy in eV/atom: -0.544

=====

| no. | ρ (kg/m³) | N(E_F) (states/eV/atom) |
| --- | --- | --- |
| 1 | 9223 | 0.638 |
| 2 | 7097 | 0.922 |